GGA-PBE RbYSi, relaxed; E = -24.832 eV per cell; energy above the lowest structure with this stoichiometry = 437 meV per atom; energy relative to the elements, uncorrected = 146 meV per atom; volume = 194.0 Å³ per cell
1.0
6.1058 0.0000 0.0000
-2.3156 5.8020 0.0000
-2.6917 -1.6607 5.4776
Rb Y Si
2 2 2
Cartesian
0.0000 0.0000 0.0000
0.4301 -0.1171 3.6393
-2.5840 1.9890 4.0802
1.5180 3.2711 1.6984
-1.4832 2.6686 1.5032
3.2356 0.5319 1.6872